DFT (PBE-GGA) results for a geometry-optimized NiSn2HgBi structure.

```
data_NiSn2HgBi
_chemical_formula_sum 'Ni1 Sn2 Hg1 Bi1'
_space_group_name_H-M_alt 'P 4/m m m'
_space_group_IT_number 123
_space_group_name_Hall '-P 4 2'
_cell_length_a 5.015
_cell_length_b 5.015
_cell_length_c 5.031
_cell_angle_alpha 90.00
_cell_angle_beta 90.00
_cell_angle_gamma 90.00
loop_
_atom_site_label
_atom_site_type_symbol
_atom_site_fract_x
_atom_site_fract_y
_atom_site_fract_z
_atom_site_occupancy
Ni1 Ni 0.000 0.000 0.000 1
Sn1 Sn 0.000 0.500 0.000 1
Hg1 Hg 0.000 0.000 0.500 1
Bi1 Bi 0.500 0.500 0.500 1
```

Summary:
formation energy from the elements	114	meV per atom
calculated volume	25.31	Å³/atom
total moment	0.00	μB per cell